VASP calculation (PBEsol) on NaZrCd2 after structural relaxation.

a = 6.978 Å, b = 6.978 Å, c = 6.978 Å
α = 90.00°, β = 90.00°, γ = 90.00°
Fractional positions:
1 Na 0.000 0.000 0.000
2 Na 0.000 0.500 0.500
3 Na 0.500 0.000 0.500
4 Na 0.500 0.500 0.000
5 Zr 0.000 0.000 0.500
6 Zr 0.000 0.500 0.000
7 Zr 0.500 0.000 0.000
8 Zr 0.500 0.500 0.500
9 Cd 0.250 0.250 0.250
10 Cd 0.250 0.250 0.750
11 Cd 0.250 0.750 0.250
12 Cd 0.250 0.750 0.750
13 Cd 0.750 0.250 0.250
14 Cd 0.750 0.250 0.750
15 Cd 0.750 0.750 0.250
16 Cd 0.750 0.750 0.750

## Properties
DOS at the Fermi energy	0.590	states/eV/atom
raw total energy	-3.12	eV/atom
ΔH_f (0 K)	0.097	eV per atom